1.
Material: Re2Ir2Pd
Method: DFT, PBE-GGA
State: optimized geometry

- Total moment: 0.0 μB/f.u.
- SG: P4/mbm, No. 127
- Energy of formation from the pure elements: 107 meV per atom

Unit cell a=7.6298 b=7.6298 c=2.7272 alpha=90.00 beta=90.00 gamma=90.00
Last column: nearest neighbours and their distance in Å.
Atoms (fractional coordinates):
1 Re 0.3770 0.8770 0.0000  6 Ir 2.62-2.64, 3 Re 2.66-2.73
2 Re 0.8770 0.6230 0.0000  6 Ir 2.62-2.64, 3 Re 2.66-2.73
3 Re 0.6230 0.1230 0.0000  6 Ir 2.62-2.64, 3 Re 2.66-2.73
4 Re 0.1230 0.3770 0.0000  6 Ir 2.62-2.64, 3 Re 2.66-2.73
5 Ir 0.1674 0.6674 0.5000  6 Re 2.62-2.64, 2 Ir 2.73
6 Ir 0.6674 0.8326 0.5000  6 Re 2.62-2.64, 2 Ir 2.73
7 Ir 0.8326 0.3326 0.5000  6 Re 2.62-2.64, 2 Ir 2.73
8 Ir 0.3326 0.1674 0.5000  6 Re 2.62-2.64, 2 Ir 2.73
9 Pd 0.0000 0.0000 0.0000  2 Pd 2.73, 4 Re 3.03
10 Pd 0.5000 0.5000 0.0000  2 Pd 2.73, 4 Re 3.03

---

2.
Material: ReIr2Pd
Method: DFT, PBE-GGA
State: optimized geometry

- Total moment: 0.0 μB/f.u.
- SG: R-3m, No. 166
- Energy of formation from the pure elements: -86 meV per atom

Unit cell a=2.7504 b=2.7504 c=9.1743 alpha=81.38 beta=81.38 gamma=60.00
Last column: nearest neighbours and their distance in Å.
Atoms (fractional coordinates):
1 Re 0.0000 0.0000 0.0000  6 Ir 2.70, 6 Re 2.75
2 Ir 0.7471 0.7471 0.7587  3 Re 2.70, 6 Ir 2.75, 3 Pd 2.83
3 Ir 0.2529 0.2529 0.2413  3 Re 2.70, 6 Ir 2.75, 3 Pd 2.83
4 Pd 0.5000 0.5000 0.5000  6 Pd 2.75, 6 Ir 2.83

---

3.
Material: Re3IrPd
Method: DFT, PBE-GGA
State: optimized geometry

- Total moment: 0.0 μB/f.u.
- SG: Pm-3m, No. 221
- Energy of formation from the pure elements: 2224 meV per atom

Unit cell a=4.6819 b=4.6819 c=4.6819 alpha=90.00 beta=90.00 gamma=90.00
Last column: nearest neighbours and their distance in Å.
Atoms (fractional coordinates):
1 Re 0.0000 0.5000 0.0000  2 Ir 2.34
2 Re 0.0000 0.0000 0.5000  2 Ir 2.34
3 Re 0.5000 0.0000 0.0000  2 Ir 2.34
4 Ir 0.0000 0.0000 0.0000  6 Re 2.34
5 Pd 0.5000 0.5000 0.5000  12 Re 3.31

---

4.
Material: ReIr2Pd
Method: DFT, PBE-GGA
State: optimized geometry

- Total moment: 0.0 μB/f.u.
- SG: P4/mmm, No. 123
- Energy of formation from the pure elements: -103 meV per atom

Unit cell a=2.7554 b=2.7554 c=7.8219 alpha=90.00 beta=90.00 gamma=90.00
Last column: nearest neighbours and their distance in Å.
Atoms (fractional coordinates):
1 Re 0.0000 0.0000 0.0000  8 Ir 2.69, 4 Re 2.76
2 Ir 0.5000 0.5000 0.2366  4 Re 2.69, 4 Ir 2.76, 4 Pd 2.84
3 Ir 0.5000 0.5000 0.7634  4 Re 2.69, 4 Ir 2.76, 4 Pd 2.84
4 Pd 0.0000 0.0000 0.5000  4 Pd 2.76, 8 Ir 2.84

---

5.
Material: ReIr2Pd
Method: DFT, PBE-GGA
State: optimized geometry

- Total moment: 1.1 μB/f.u.
- SG: Fm-3m, No. 225
- Energy of formation from the pure elements: 374 meV per atom

Unit cell a=4.4042 b=4.4042 c=4.4042 alpha=60.00 beta=60.00 gamma=60.00
Last column: nearest neighbours and their distance in Å.
Atoms (fractional coordinates):
1 Re 0.5000 0.5000 0.5000  8 Ir 2.70
2 Ir 0.2500 0.2500 0.2500  4 Re 2.70, 4 Pd 2.70
3 Ir 0.7500 0.7500 0.7500  4 Re 2.70, 4 Pd 2.70
4 Pd 0.0000 0.0000 0.0000  8 Ir 2.70

---

6.
Material: Re2Ir2Pd
Method: DFT, PBE-GGA
State: optimized geometry

- Total moment: 0.0 μB/f.u.
- SG: P4/mbm, No. 127
- Energy of formation from the pure elements: 85 meV per atom

Unit cell a=7.5949 b=7.5949 c=2.7253 alpha=90.00 beta=90.00 gamma=90.00
Last column: nearest neighbours and their distance in Å.
Atoms (fractional coordinates):
1 Re 0.1698 0.6698 0.5000  6 Ir 2.59-2.64, 2 Re 2.73
2 Re 0.6698 0.8302 0.5000  6 Ir 2.59-2.64, 2 Re 2.73
3 Re 0.8302 0.3302 0.5000  6 Ir 2.59-2.64, 2 Re 2.73
4 Re 0.3302 0.1698 0.5000  6 Ir 2.59-2.64, 2 Re 2.73
5 Ir 0.3752 0.8752 0.0000  6 Re 2.59-2.64, 3 Ir 2.68-2.73
6 Ir 0.8752 0.6248 0.0000  6 Re 2.59-2.64, 3 Ir 2.68-2.73
7 Ir 0.6248 0.1248 0.0000  6 Re 2.59-2.64, 3 Ir 2.68-2.73
8 Ir 0.1248 0.3752 0.0000  6 Re 2.59-2.64, 3 Ir 2.68-2.73
9 Pd 0.0000 0.0000 0.0000  2 Pd 2.73, 4 Ir 3.00
10 Pd 0.5000 0.5000 0.0000  2 Pd 2.73, 4 Ir 3.00